Compound: La3IrO7
Source: Alexandria
Functional: GGA-PBEsol
Structure: relaxed

Geometry as CIF:
```
data_La3IrO7
_cell_length_a 11.128
_cell_length_b 7.406
_cell_length_c 7.572
_cell_angle_alpha 90.00
_cell_angle_beta 90.00
_cell_angle_gamma 90.00
_space_group_name_H-M_alt 'C m c m'
_space_group_IT_number 63
_space_group_name_Hall '-C 2c 2'
loop_
_atom_site_label
_atom_site_type_symbol
_atom_site_fract_x
_atom_site_fract_y
_atom_site_fract_z
La1 La 0.000 0.000 0.000
La2 La 0.222 0.314 0.250
Ir1 Ir 0.000 0.500 0.000
O1 O 0.000 0.414 0.250
O2 O 0.125 0.315 0.542
O3 O 0.130 0.031 0.250
```

# GGA-PBEsol NiMo2Ru, relaxed
# - formation energy from the elements (kJ/mol of formula units) = -10
data_NiMo2Ru
_cell_length_a 3.770
_cell_length_b 3.770
_cell_length_c 3.797
_cell_angle_alpha 90.00
_cell_angle_beta 90.00
_cell_angle_gamma 90.00
_space_group_name_H-M_alt 'P 4/m m m'
_space_group_IT_number 123
_space_group_name_Hall '-P 4 2'
loop_
_atom_site_label
_atom_site_type_symbol
_atom_site_fract_x
_atom_site_fract_y
_atom_site_fract_z
Ni1 Ni 0.000 0.000 0.000
Mo1 Mo 0.000 0.500 0.500
Ru1 Ru 0.500 0.500 0.000

# GGA-PBEsol CaY2Ta, relaxed
# - E above lowest polymorph (meV per atom) = 78.4
# - formation energy from the elements (kJ/mol of formula units) = 197
data_CaY2Ta
_cell_length_a 6.796
_cell_length_b 9.407
_cell_length_c 3.269
_cell_angle_alpha 90.00
_cell_angle_beta 90.00
_cell_angle_gamma 90.00
_space_group_name_H-M_alt 'C m m m'
_space_group_IT_number 65
_space_group_name_Hall '-C 2 2'
loop_
_atom_site_label
_atom_site_type_symbol
_atom_site_fract_x
_atom_site_fract_y
_atom_site_fract_z
Ca1 Ca 0.000 0.000 0.000
Y1 Y 0.250 0.250 0.500
Ta1 Ta 0.000 0.500 0.000

Number 1: VASP energy -91.699 eV/f.u.. Number 2: VASP energy -39.966 eV/f.u.. Number 3: VASP energy -26.290 eV/f.u..